#w
Density functional theory data (PBE) for an optimized crystal structure of Pm2DyPd.

```
4
Lattice="1.910 1.103 9.575 -1.910 1.103 9.575 0.000 -2.206 9.575" Properties=species:S:1:pos:R:3 pbc="T T T"
Pm 0.000 0.000 0.000
Pm 0.000 0.000 5.763
Dy 0.000 0.000 12.455
Pd 0.000 0.000 17.245
```

Values from the calculation:
As for the calculated volume: 121 Å³/cell. The value obtained for the density of states at the Fermi level is 1.208 states/eV per atom. Its space group is R3m, No. 160.

#x
Density functional theory data (PBE) for an optimized crystal structure of Pm2DyPd.

```
4
Lattice="5.387 0.000 0.000 0.000 5.387 0.000 0.000 0.000 3.734" Properties=species:S:1:pos:R:3 pbc="T T T"
Pm 0.000 2.694 0.000
Pm 2.694 0.000 0.000
Dy 0.000 0.000 1.867
Pd 2.694 2.694 1.867
```

Values from the calculation:
As for the calculated volume: 108 Å³/cell. The value obtained for the density of states at the Fermi level is 1.078 states/eV per atom. Its space group is P4/mmm, No. 123.

#y
Density functional theory data (PBE) for an optimized crystal structure of Pm2DyPd.

```
16
Lattice="6.364 0.000 0.000 -0.304 6.823 0.000 -0.015 -0.006 10.671" Properties=species:S:1:pos:R:3 pbc="T T T"
Pm 0.030 2.237 1.173
Pm 0.487 1.719 4.627
Pm 2.376 5.098 4.626
Pm 2.833 4.584 1.170
Pm 3.211 2.233 9.500
Pm 3.669 1.719 6.045
Pm 5.558 5.099 6.043
Pm 6.015 4.580 9.498
Dy 0.093 1.113 8.270
Dy 2.766 5.702 8.268
Dy 3.279 1.115 2.403
Dy 5.952 5.704 2.401
Pd 1.577 -0.001 10.653
Pd 1.431 3.408 7.030
Pd 4.614 3.410 3.641
Pd 4.468 6.818 0.018
```

Values from the calculation:
As for the calculated volume: 463 Å³/cell. The value obtained for the density of states at the Fermi level is 1.308 states/eV per atom. Its space group is P-1, No. 2.

Stability check: which of them is most stable? #y.

#w
Density functional theory data (PBE) for an optimized crystal structure of Pm2DyPd3.

```
12
Lattice="5.076 0.000 0.000 0.000 15.413 0.000 0.000 0.000 3.485" Properties=species:S:1:pos:R:3 pbc="T T T"
Pm 1.269 1.287 0.003
Pm 1.269 6.420 0.003
Pm 3.807 8.993 3.482
Pm 3.807 14.127 3.482
Dy 1.269 11.560 3.479
Dy 3.807 3.853 0.006
Pd 1.269 3.853 1.747
Pd 1.269 9.145 1.738
Pd 1.269 13.975 1.738
Pd 3.807 1.438 1.747
Pd 3.807 6.269 1.747
Pd 3.807 11.560 1.738
```

Values from the calculation:
As for the calculated volume: 273 Å³/cell. The value obtained for the density of states at the Fermi level is 0.643 states/eV per atom. Its space group is Pmmn, No. 59.

#x
Density functional theory data (PBE) for an optimized crystal structure of Pm2DyPd3.

```
12
Lattice="6.547 -2.935 0.000 6.547 2.935 0.000 -2.634 0.000 7.874" Properties=species:S:1:pos:R:3 pbc="T T T"
Pm 1.975 0.025 0.660
Pm 0.657 -0.025 4.597
Pm 9.803 0.025 3.276
Pm 8.486 -0.025 7.213
Dy 4.571 0.047 5.905
Dy 5.889 -0.047 1.968
Pd 5.889 2.887 1.968
Pd 3.334 0.026 3.303
Pd 2.016 -0.026 7.240
Pd 8.444 0.026 0.634
Pd 7.127 -0.026 4.571
Pd 4.571 -2.887 5.905
```

Values from the calculation:
As for the calculated volume: 303 Å³/cell. The value obtained for the density of states at the Fermi level is 0.689 states/eV per atom. Its space group is C2/c, No. 15.

Stability check: which of them is most stable? #w.

#w
Density functional theory data (PBE) for an optimized crystal structure of PmDyPdRu.

```
4
Lattice="0.000 3.495 3.495 3.495 0.000 3.495 3.495 3.495 0.000" Properties=species:S:1:pos:R:3 pbc="T T T"
Pm 0.000 0.000 0.000
Dy 3.495 3.495 3.495
Pd 1.748 1.748 1.748
Ru 5.243 5.243 5.243
```

Values from the calculation:
As for the calculated volume: 85 Å³/cell. The value obtained for the density of states at the Fermi level is 0.677 states/eV per atom. Its space group is F-43m, No. 216.

#x
Density functional theory data (PBE) for an optimized crystal structure of PmDyPdRu.

```
4
Lattice="3.462 0.000 0.000 0.000 3.462 0.000 0.000 0.000 7.149" Properties=species:S:1:pos:R:3 pbc="T T T"
Pm 0.000 0.000 0.000
Dy 0.000 0.000 3.420
Pd 1.731 1.731 5.167
Ru 1.731 1.731 1.764
```

Values from the calculation:
As for the calculated volume: 86 Å³/cell. The value obtained for the density of states at the Fermi level is 0.512 states/eV per atom. Its space group is P4mm, No. 99.

Stability check: which of them is most stable? #x.

#w
Density functional theory data (PBE) for an optimized crystal structure of PrDyPd2.

```
4
Lattice="2.095 1.209 6.689 -2.095 1.209 6.689 0.000 -2.419 6.689" Properties=species:S:1:pos:R:3 pbc="T T T"
Pr 0.000 0.000 0.000
Dy 0.000 0.000 10.034
Pd 0.000 0.000 4.903
Pd 0.000 0.000 15.165
```

Values from the calculation:
As for the calculated volume: 102 Å³/cell. The value obtained for the density of states at the Fermi level is 0.606 states/eV per atom. Its space group is R-3m, No. 166.

#x
Density functional theory data (PBE) for an optimized crystal structure of PrDyPd2.

```
4
Lattice="4.610 0.000 0.000 0.000 1.921 5.377 0.000 -1.921 5.377" Properties=species:S:1:pos:R:3 pbc="T T T"
Pr 0.000 0.000 0.000
Dy 2.305 0.000 2.944
Pd 0.000 0.000 7.806
Pd 2.305 0.000 5.969
```

Values from the calculation:
As for the calculated volume: 95 Å³/cell. The value obtained for the density of states at the Fermi level is 0.615 states/eV per atom. Its space group is Amm2, No. 38.

#y
Density functional theory data (PBE) for an optimized crystal structure of PrDyPd2.

```
4
Lattice="3.509 0.000 0.000 0.000 3.509 0.000 0.000 0.000 7.411" Properties=species:S:1:pos:R:3 pbc="T T T"
Pr 0.000 0.000 0.000
Dy 0.000 0.000 3.705
Pd 1.755 1.755 2.034
Pd 1.755 1.755 5.377
```

Values from the calculation:
As for the calculated volume: 91 Å³/cell. The value obtained for the density of states at the Fermi level is 0.761 states/eV per atom. Its space group is P4/mmm, No. 123.

Stability check: which of them is most stable? #x.